PmPr2TmSb4: optimized geometry, PBE.

Summary:
* raw formation energy: -9.21 eV/f.u.
* space group: P2/m
* density of states at the Fermi level: 1.0 states/eV/f.u.

Cell: 7.7689 4.4920 7.7736 Å, 90.00 109.51 90.00°
Sites, in units of the cell vectors:
Pm: 0.0000 0.0000 0.0000
Pr: 0.5000 0.0000 0.5000
Pr: 0.5000 0.5000 0.0000
Tm: 0.0000 0.5000 0.5000
Sb: 0.2391 0.0000 0.7417
Sb: 0.2425 0.5000 0.2522
Sb: 0.7575 0.5000 0.7478
Sb: 0.7609 0.0000 0.2583